# Ca2OsPd2 PBE-GGA relaxed
# Symmetry   P4/mbm, No. 127
# Total DFT energy (no corrections)   -5.213 eV/atom
data_Ca2OsPd2
_chemical_formula_sum 'Ca4 Os2 Pd4'
_space_group_name_H-M_alt 'P 1'
_space_group_IT_number 1
_cell_length_a 6.769
_cell_length_b 6.769
_cell_length_c 4.551
_cell_angle_alpha 90.00
_cell_angle_beta 90.00
_cell_angle_gamma 90.00
loop_
_space_group_symop_operation_xyz
'x,y,z'
loop_
_atom_site_label
_atom_site_fract_x
_atom_site_fract_y
_atom_site_fract_z
_atom_site_occupancy
Ca1 0.179 0.679 0.500 1
Ca2 0.679 0.821 0.500 1
Ca3 0.821 0.321 0.500 1
Ca4 0.321 0.179 0.500 1
Os1 0.000 0.000 0.000 1
Os2 0.500 0.500 0.000 1
Pd1 0.363 0.863 0.000 1
Pd2 0.863 0.637 0.000 1
Pd3 0.637 0.137 0.000 1
Pd4 0.137 0.363 0.000 1


# Pm2ErZrP4 PBE-GGA relaxed
# Symmetry   P2/m, No. 10
# Total DFT energy (no corrections)   -7.054 eV/atom
data_Pm2ErZrP4
_chemical_formula_sum 'Pm2 Er1 Zr1 P4'
_space_group_name_H-M_alt 'P 1'
_space_group_IT_number 1
_cell_length_a 3.976
_cell_length_b 6.891
_cell_length_c 6.908
_cell_angle_alpha 109.26
_cell_angle_beta 90.00
_cell_angle_gamma 90.00
loop_
_space_group_symop_operation_xyz
'x,y,z'
loop_
_atom_site_label
_atom_site_fract_x
_atom_site_fract_y
_atom_site_fract_z
_atom_site_occupancy
Pm1 0.500 0.000 0.500 1
Pm2 0.000 0.500 0.500 1
Er1 0.500 0.500 0.000 1
Zr1 0.000 0.000 0.000 1
P1 0.500 0.237 0.231 1
P2 0.500 0.763 0.769 1
P3 0.000 0.248 0.766 1
P4 0.000 0.752 0.234 1


# YCuAu2Cl PBE-GGA relaxed
# Symmetry   P4/mmm, No. 123
# Formation energy (no corrections)   -0.17 eV/atom
data_YCuAu2Cl
_chemical_formula_sum 'Y1 Cu1 Au2 Cl1'
_space_group_name_H-M_alt 'P 1'
_space_group_IT_number 1
_cell_length_a 4.782
_cell_length_b 5.297
_cell_length_c 4.782
_cell_angle_alpha 90.00
_cell_angle_beta 90.00
_cell_angle_gamma 90.00
loop_
_space_group_symop_operation_xyz
'x,y,z'
loop_
_atom_site_label
_atom_site_fract_x
_atom_site_fract_y
_atom_site_fract_z
_atom_site_occupancy
Y1 0.000 0.500 0.000 1
Au1 0.000 0.000 0.500 1
Au2 0.500 0.000 0.000 1
Cu1 0.000 0.000 0.000 1
Cl1 0.500 0.500 0.500 1


# SnTe3 PBE-GGA relaxed
# Symmetry   Fm-3m, No. 225
# Formation energy (no corrections)   0.17 eV/atom
data_SnTe3
_chemical_formula_sum 'Sn1 Te3'
_space_group_name_H-M_alt 'P 1'
_space_group_IT_number 1
_cell_length_a 5.458
_cell_length_b 5.458
_cell_length_c 5.458
_cell_angle_alpha 60.00
_cell_angle_beta 60.00
_cell_angle_gamma 60.00
loop_
_space_group_symop_operation_xyz
'x,y,z'
loop_
_atom_site_label
_atom_site_fract_x
_atom_site_fract_y
_atom_site_fract_z
_atom_site_occupancy
Te1 0.250 0.250 0.250 1
Te2 0.750 0.750 0.750 1
Te3 0.500 0.500 0.500 1
Sn1 0.000 0.000 0.000 1


# SmEr3Mg PBE-GGA relaxed
# Symmetry   C2/c, No. 15
# Total DFT energy (no corrections)   -3.986 eV/atom
data_SmEr3Mg
_chemical_formula_sum 'Sm4 Er12 Mg4'
_space_group_name_H-M_alt 'P 1'
_space_group_IT_number 1
_cell_length_a 9.487
_cell_length_b 8.538
_cell_length_c 8.538
_cell_angle_alpha 79.85
_cell_angle_beta 111.71
_cell_angle_gamma 111.71
loop_
_space_group_symop_operation_xyz
'x,y,z'
loop_
_atom_site_label
_atom_site_fract_x
_atom_site_fract_y
_atom_site_fract_z
_atom_site_occupancy
Sm1 0.855 0.534 0.282 1
Sm2 0.645 0.718 0.466 1
Sm3 0.145 0.466 0.718 1
Sm4 0.355 0.282 0.534 1
Er1 0.646 0.219 0.971 1
Er2 0.854 0.029 0.781 1
Er3 0.354 0.781 0.029 1
Er4 0.146 0.971 0.219 1
Er5 0.936 0.654 0.907 1
Er6 0.564 0.093 0.346 1
Er7 0.064 0.346 0.093 1
Er8 0.436 0.907 0.654 1
Er9 0.437 0.402 0.155 1
Er10 0.063 0.845 0.598 1
Er11 0.563 0.598 0.845 1
Er12 0.937 0.155 0.402 1
Mg1 0.250 0.121 0.879 1
Mg2 0.750 0.879 0.121 1
Mg3 0.250 0.629 0.371 1
Mg4 0.750 0.371 0.629 1


# TlWBr PBE-GGA relaxed
# Symmetry   F-43m, No. 216
# Formation energy (no corrections)   1.85 eV/atom
data_TlWBr
_chemical_formula_sum 'Tl1 W1 Br1'
_space_group_name_H-M_alt 'P 1'
_space_group_IT_number 1
_cell_length_a 5.145
_cell_length_b 5.145
_cell_length_c 5.145
_cell_angle_alpha 60.00
_cell_angle_beta 60.00
_cell_angle_gamma 60.00
loop_
_space_group_symop_operation_xyz
'x,y,z'
loop_
_atom_site_label
_atom_site_fract_x
_atom_site_fract_y
_atom_site_fract_z
_atom_site_occupancy
Tl1 0.250 0.250 0.250 1
Br1 0.500 0.500 0.500 1
W1 0.000 0.000 0.000 1


Summary of size of the total moment in μB per atom
0.029 0.000 0.000 0.000 0.000 1.586
(order as listed above)
Summary of DOS(E_F) in states/eV/cell
5.8 1.5 1.9 4.0 28.2 3.2
(order as listed above)